Record 1
Below is a relaxed NaPrIn2Br6 crystal, with properties calculated at the PBE-GGA level.

Properties
As for the total magnetization: 0.000 μB/atom. Its formation energy (no corrections) is -1.326 eV per atom.

Unit cell a=8.020 b=8.026 c=8.199 alpha=90.03 beta=119.27 gamma=119.97
Space group P1 (No. 1)
Asymmetric unit:
Na1 0.000 0.000 0.000 x1
Pr1 0.010 0.505 0.515 x1
In1 0.420 0.210 0.629 x1
In2 0.428 0.714 0.142 x1
Br1 0.125 0.771 0.291 x1
Br2 0.143 0.854 0.789 x1
Br3 0.501 0.646 0.789 x1
Br4 0.520 0.354 0.291 x1
Br5 0.935 0.289 0.790 x1
Br6 0.936 0.166 0.291 x1

Record 2
Below is a relaxed Tb4Ho5Tl crystal, with properties calculated at the PBE-GGA level.

Properties
As for the total magnetization: 0.000 μB/atom. As for the formation energy: 0.135 eV per atom.

Unit cell a=10.597 b=10.597 c=5.782 alpha=90.00 beta=90.00 gamma=90.00
Space group I4mm (No. 107)
Asymmetric unit:
Tb1 0.000 0.316 0.000 x8
Ho1 0.000 0.000 0.798 x2
Ho2 0.185 0.185 0.507 x8
Tl1 0.000 0.000 0.280 x2

Question: Which formula does entry 1 have?
Answer: NaPrIn2Br6